No. 1
ZnCo2Rh: optimized geometry, PBE-GGA.

Cell: 2.6460 2.6460 24.9559 Å, 90.00 90.00 120.00°
Space group R3m (No. 160, hexagonal axes)
Unique sites:
Zn1 0.0000 0.0000 0.0000 [3 per cell]
Co1 0.0000 0.0000 0.2490 [3 per cell]
Co2 0.0000 0.0000 0.5062 [3 per cell]
Rh1 0.0000 0.0000 0.7548 [3 per cell]

Properties
Electronic total energy (eV per atom): -5.702
Theoretical density (g cm⁻³): 9.42
DFT formation energy (eV/atom): 0.01

No. 2
LaCoRh2: optimized geometry, PBE-GGA.

Cell: 4.126 4.126 8.079 Å, 90.00 90.00 90.00°
Space group I-4m2 (No. 119)
Unique sites:
La1 0.000 0.000 0.000 [2 per cell]
Co1 0.000 0.500 0.250 [2 per cell]
Rh1 0.000 0.000 0.500 [2 per cell]
Rh2 0.000 0.500 0.750 [2 per cell]

Properties
Energy relative to the lowest polymorph listed for this composition (eV per atom): 0.194
Electronic total energy (eV per atom): -6.745
Theoretical density (g cm⁻³): 9.75
DFT formation energy (eV/atom): -0.06

No. 3
Bi2SbPd2: optimized geometry, PBE-GGA.

Cell: 3.940 3.940 15.978 Å, 90.00 90.00 90.00°
Space group I4/mmm (No. 139)
Unique sites:
Bi1 0.000 0.000 0.121 [4 per cell]
Sb1 0.000 0.000 0.500 [2 per cell]
Pd1 0.000 0.500 0.250 [4 per cell]

Properties
Energy relative to the lowest polymorph listed for this composition (eV per atom): 0.205
Electronic total energy (eV per atom): -4.488
E_form (uncorrected) (eV per atom): -0.0341
Theoretical density (g cm⁻³): 10.08

Which value of electronic total energy does entry 3 give?
-4.488 eV per atom

electronic total energy of number 2 (LaCoRh2)?
-6.745 eV per atom